No. 1
This record from OQMD describes a geometry-optimized TbGdNi4 structure. The functional is PBE.

Output
E_form: -0.0114 eV per atom
energy relative to the lowest polymorph listed for this composition: 415 meV/atom
calculated volume: 16.8 Å³ per atom
total DFT energy (no corrections): -0.194 hartree per atom

The structure in POSCAR format:
```
TbGdNi4
1.0
5.3744 0.0000 0.0000
-2.6872 4.6544 0.0000
0.0000 0.0000 8.0687
Tb Gd Ni
2 2 8
direct
0.3333 0.6667 0.0000
0.6667 0.3333 0.0000
0.0000 0.0000 0.0000
0.0000 0.0000 0.5000
0.0000 0.5000 0.2744
0.0000 0.5000 0.7256
0.3333 0.6667 0.5000
0.5000 0.0000 0.2744
0.5000 0.0000 0.7256
0.5000 0.5000 0.2744
0.5000 0.5000 0.7256
0.6667 0.3333 0.5000
```

***

No. 2
This record from OQMD describes a geometry-optimized TbGdNi4 structure. The functional is PBE.

Output
E_form: 0.0085 eV per atom
energy relative to the lowest polymorph listed for this composition: 435 meV/atom
calculated volume: 16.7 Å³ per atom
total DFT energy (no corrections): -0.193 hartree per atom

The structure in POSCAR format:
```
TbGdNi4
1.0
5.3489 0.0000 0.0000
-2.6745 4.6323 0.0000
0.0000 0.0000 8.0908
Tb Gd Ni
2 2 8
direct
0.0000 0.0000 0.0000
0.0000 0.0000 0.5000
0.3333 0.6667 0.0000
0.6667 0.3333 0.0000
0.0000 0.5000 0.2763
0.0000 0.5000 0.7237
0.3333 0.6667 0.5000
0.5000 0.0000 0.2763
0.5000 0.0000 0.7237
0.5000 0.5000 0.2763
0.5000 0.5000 0.7237
0.6667 0.3333 0.5000
```

***

No. 3
This record from OQMD describes a geometry-optimized TbGd2Tl3Ni3 structure. The functional is PBE.

Output
calculated volume: 20.9 Å³ per atom
total DFT energy (no corrections): -0.167 hartree per atom

The structure in POSCAR format:
```
TbGd2Tl3Ni3
1.0
3.7849 0.0000 0.0000
0.0000 6.5630 3.7897
0.0000 -6.5630 3.7897
Tb Gd Tl Ni
1 2 3 3
direct
0.0000 0.0000 0.0000
0.0000 0.1838 0.5920
0.0000 0.5920 0.1838
0.5000 0.3311 0.3311
0.5000 0.5926 0.8523
0.5000 0.8523 0.5926
0.0000 0.5922 0.5922
0.5000 0.2581 0.9256
0.5000 0.9256 0.2581
```

***

No. 4
This record from OQMD describes a geometry-optimized Tb2GdTl3Ni3 structure. The functional is PBE.

Output
calculated volume: 20.9 Å³ per atom
total DFT energy (no corrections): -0.167 hartree per atom

The structure in POSCAR format:
```
Tb2GdTl3Ni3
1.0
3.7798 0.0000 0.0000
0.0000 6.5604 3.7874
0.0000 -6.5604 3.7874
Tb Gd Tl Ni
2 1 3 3
direct
0.0000 0.2040 0.7960
0.0000 0.7960 0.2040
0.0000 0.6122 0.6122
0.5000 0.2034 0.4645
0.5000 0.4645 0.2034
0.5000 0.9440 0.9440
0.0000 0.2038 0.2038
0.5000 0.5371 0.8712
0.5000 0.8712 0.5371
```

***

No. 5
This record from OQMD describes a geometry-optimized TbGdTl4Ni2 structure. The functional is PBE.

Output
calculated volume: 22.1 Å³ per atom
total DFT energy (no corrections): -0.144 hartree per atom

The structure in POSCAR format:
```
TbGdTl4Ni2
1.0
7.5305 0.0000 0.0000
0.0000 4.3707 0.0000
0.0000 0.0000 10.7553
Tb Gd Tl Ni
2 2 8 4
direct
0.0000 0.0000 0.0000
0.0000 0.5000 0.5000
0.5000 0.0000 0.8615
0.5000 0.5000 0.3615
0.2029 0.0000 0.2891
0.2029 0.5000 0.7891
0.2965 0.0000 0.5722
0.2965 0.5000 0.0722
0.7035 0.0000 0.5722
0.7035 0.5000 0.0722
0.7971 0.0000 0.2891
0.7971 0.5000 0.7891
0.0000 0.0000 0.7181
0.0000 0.5000 0.2181
0.5000 0.0000 0.1436
0.5000 0.5000 0.6436
```

***

No. 6
This record from OQMD describes a geometry-optimized GdNi4Te3 structure. The functional is PBE.

Output
calculated volume: 18.4 Å³ per atom
total DFT energy (no corrections): -0.181 hartree per atom

The structure in POSCAR format:
```
GdNi4Te3
1.0
5.5931 0.0000 0.0000
0.0000 3.8751 0.0000
-1.5369 0.0000 6.7799
Gd Ni Te
1 4 3
direct
0.0000 0.0000 0.0000
0.1299 0.5000 0.6747
0.4439 0.0000 0.6587
0.5222 0.0000 0.2205
0.8478 0.5000 0.2803
0.3066 0.5000 0.3620
0.5186 0.5000 0.9385
0.8503 0.0000 0.5487
```

***

No. 7
This record from OQMD describes a geometry-optimized GdNiTe2 structure. The functional is PBE.

Output
calculated volume: 24.1 Å³ per atom
total DFT energy (no corrections): -0.180 hartree per atom

The structure in POSCAR format:
```
GdNiTe2
1.0
4.1163 0.0000 0.0000
-2.0582 3.5648 0.0000
0.0000 0.0000 6.5783
Gd Ni Te
1 1 2
direct
0.0000 0.0000 0.0000
0.0000 0.0000 0.5000
0.3333 0.6667 0.7046
0.6667 0.3333 0.2954
```

***

No. 8
This record from OQMD describes a geometry-optimized Gd4NiTe2 structure. The functional is PBE.

Output
calculated volume: 27.2 Å³ per atom
total DFT energy (no corrections): -0.194 hartree per atom

The structure in POSCAR format:
```
Gd4NiTe2
1.0
15.5920 0.0000 0.0000
0.0000 4.1335 0.0000
0.0000 0.0000 11.8056
Gd Ni Te
16 4 8
direct
0.0421 0.2500 0.2001
0.1034 0.7500 0.4658
0.1301 0.2500 0.9173
0.2227 0.7500 0.1298
0.2773 0.2500 0.6298
0.3699 0.7500 0.4173
0.3966 0.2500 0.9658
0.4579 0.7500 0.7001
0.5421 0.2500 0.2999
0.6034 0.7500 0.0342
0.6301 0.2500 0.5827
0.7227 0.7500 0.3702
0.7773 0.2500 0.8702
0.8699 0.7500 0.0827
0.8966 0.2500 0.5342
0.9579 0.7500 0.7999
0.0462 0.7500 0.0275
0.4538 0.2500 0.5275
0.5462 0.7500 0.4725
0.9538 0.2500 0.9725
0.0738 0.2500 0.6555
0.2200 0.2500 0.3441
0.2800 0.7500 0.8441
0.4262 0.7500 0.1555
0.5738 0.2500 0.8445
0.7200 0.2500 0.1559
0.7800 0.7500 0.6559
0.9262 0.7500 0.3445
```